Run i
DyZrTe | GGA-PBE | relaxed

a = 3.729 Å, b = 3.730 Å, c = 13.624 Å
α = 90.00°, β = 90.00°, γ = 120.00°
Fractional coordinates of all 6 atoms:
1 Zr 0.611 0.222 0.000
2 Zr 0.278 0.556 0.500
3 Te 0.611 0.222 0.356
4 Te 0.611 0.222 0.644
5 Dy 0.278 0.556 0.812
6 Dy 0.278 0.556 0.188

## Properties
As for the density: 7.72 g/cm³.

Run ii
DyZrTe | GGA-PBE | relaxed

a = 3.775 Å, b = 4.966 Å, c = 4.966 Å
α = 120.00°, β = 90.00°, γ = 90.00°
Fractional coordinates of all 3 atoms:
1 Te 0.167 0.333 0.667
2 Zr 0.166 0.000 0.000
3 Dy 0.666 0.667 0.333

## Properties
As for the density: 7.85 g/cm³.

Which structure wins on stability? run i wins.

Run i
Dy5Th | GGA-PBE | relaxed

a = 3.550 Å, b = 3.550 Å, c = 15.089 Å
α = 90.00°, β = 90.00°, γ = 90.00°
Fractional coordinates of all 6 atoms:
1 Dy 0.000 0.000 0.663
2 Dy 0.500 0.500 0.834
3 Dy 0.000 0.000 0.000
4 Dy 0.500 0.500 0.166
5 Dy 0.000 0.000 0.337
6 Th 0.500 0.500 0.500

## Properties
As for the density: 9.12 g/cm³.

Run ii
Dy5Th | GGA-PBE | relaxed

a = 3.541 Å, b = 6.759 Å, c = 9.674 Å
α = 119.68°, β = 90.00°, γ = 105.19°
Fractional coordinates of all 6 atoms:
1 Dy 0.000 0.999 0.003
2 Dy 0.262 0.524 0.694
3 Dy 0.749 0.499 0.362
4 Dy 0.526 0.053 0.694
5 Dy 0.011 0.023 0.359
6 Th 0.285 0.569 0.055

## Properties
As for the density: 9.04 g/cm³.

Run iii
Dy5Th | GGA-PBE | relaxed

a = 5.033 Å, b = 5.024 Å, c = 7.923 Å
α = 108.48°, β = 90.00°, γ = 90.00°
Fractional coordinates of all 6 atoms:
1 Th 0.000 0.000 0.000
2 Dy 0.000 0.666 0.331
3 Dy 0.000 0.334 0.669
4 Dy 0.500 0.500 0.000
5 Dy 0.500 0.164 0.328
6 Dy 0.500 0.836 0.672

## Properties
As for the density: 9.13 g/cm³.

Which structure wins on stability? run i wins.

Run i
Dy2Th3 | GGA-PBE | relaxed

a = 6.741 Å, b = 6.741 Å, c = 9.510 Å
α = 69.24°, β = 69.24°, γ = 60.00°
Fractional coordinates of all 10 atoms:
1 Dy 0.191 0.191 0.428
2 Dy 0.691 0.691 0.928
3 Dy 0.809 0.809 0.572
4 Dy 0.309 0.309 0.072
5 Th 0.250 0.750 0.250
6 Th 0.750 0.250 0.250
7 Th 0.750 0.750 0.250
8 Th 0.250 0.750 0.750
9 Th 0.250 0.250 0.750
10 Th 0.750 0.250 0.750

## Properties
As for the density: 9.93 g/cm³.

Run ii
Dy2Th3 | GGA-PBE | relaxed

a = 5.595 Å, b = 9.625 Å, c = 12.136 Å
α = 66.64°, β = 71.31°, γ = 36.11°
Fractional coordinates of all 10 atoms:
1 Dy 0.000 0.872 0.257
2 Dy 0.000 0.128 0.743
3 Dy 0.500 0.500 0.500
4 Dy 0.500 0.000 0.500
5 Th 0.470 0.714 0.000
6 Th 0.530 0.286 0.000
7 Th 0.014 0.432 0.772
8 Th 0.986 0.795 0.772
9 Th 0.014 0.205 0.228
10 Th 0.986 0.568 0.228

## Properties
As for the density: 9.59 g/cm³.

Which structure wins on stability? run i wins.